Entry 1:
Computed, not measured: crystalline GeIrF2 at its relaxed geometry at the PBEsol level of DFT.

abc: 2.6767 2.6767 25.4222
angles: 90.00 90.00 120.00
With the nearest neighbours (Å) after each atom.
Space group R-3m (No. 166, hexagonal axes)
One atom of each set of equivalent atoms:
1 Ge 0.0000 0.0000 0.0000 (multiplicity 3)  2 F 1.85
2 Ir 0.0000 0.0000 0.5000 (multiplicity 3)  6 Ir 2.68, 6 F 2.84
3 F 0.0000 0.0000 0.0729 (multiplicity 6)  1 Ge 1.85

E_form (uncorrected) in eV per formula unit: -2.0
Density of states at the Fermi level in states/eV per cell: 5.92


Entry 2:
Computed, not measured: crystalline Al5Ni at its relaxed geometry at the PBEsol level of DFT.

abc: 2.7955 2.7955 11.2719
angles: 90.00 90.00 90.00
With the nearest neighbours (Å) after each atom.
Space group P4/mmm (No. 123)
One atom of each set of equivalent atoms:
1 Al 0.0000 0.0000 0.0000 (multiplicity 1)  12 Al 2.80-2.85
2 Al 0.0000 0.0000 0.3664 (multiplicity 2)  4 Ni 2.49
3 Al 0.5000 0.5000 0.1825 (multiplicity 2)  12 Al 2.80-2.86
4 Ni 0.5000 0.5000 0.5000 (multiplicity 1)  8 Al 2.49

Energy of formation in eV per atom: -0.209
Density of states at the Fermi level in states/eV per cell: 2.39


Entry 3:
Computed, not measured: crystalline LaSc2 at its relaxed geometry at the PBEsol level of DFT.

abc: 8.8993 8.8993 8.8993
angles: 90.00 90.00 90.00
With the nearest neighbours (Å) after each atom.
Space group Fd-3m (No. 227, origin choice 2)
One atom of each set of equivalent atoms:
1 La 0.1250 0.1250 0.1250 (multiplicity 8)  12 Sc 3.69, 4 La 3.85
2 Sc 0.0000 0.0000 0.5000 (multiplicity 16)  6 Sc 3.15

Energy of formation in eV per atom: 0.264
Distance to the lowest polymorph of the same formula in meV per atom: 207
Density of states at the Fermi level in states/eV per cell: 42.31


Entry 4:
Computed, not measured: crystalline NaMg4V3O12 at its relaxed geometry at the PBEsol level of DFT.

abc: 6.8739 6.8739 19.2289
angles: 90.00 90.00 90.00
With the nearest neighbours (Å) after each atom.
Space group I-42d (No. 122)
One atom of each set of equivalent atoms:
1 Na 0.0000 0.0000 0.0000 (multiplicity 4)  4 O 2.36
2 Mg 0.0000 0.0000 0.2746 (multiplicity 8)  6 O 2.09-2.14
3 Mg 0.2420 0.7500 0.6250 (multiplicity 8)  6 O 2.02-2.16
4 V 0.0000 0.0000 0.5000 (multiplicity 4)  4 O 1.71
5 V 0.1506 0.2500 0.1250 (multiplicity 8)  4 O 1.72-1.73
6 O 0.0088 0.6983 0.0588 (multiplicity 16)  1 V 1.72
7 O 0.0426 0.7290 0.9020 (multiplicity 16)  1 V 1.73
8 O 0.0540 0.7070 0.7041 (multiplicity 16)  1 V 1.71

E_form (uncorrected) in eV per formula unit: -51.4
Density of states at the Fermi level in states/eV per cell: 0.00


Entry 5:
Computed, not measured: crystalline MnNiSbTe2 at its relaxed geometry at the PBEsol level of DFT.

abc: 4.9963 4.9963 4.8447
angles: 90.00 90.00 90.00
With the nearest neighbours (Å) after each atom.
Space group P4/mmm (No. 123)
One atom of each set of equivalent atoms:
1 Mn 0.0000 0.0000 0.0000 (multiplicity 1)  2 Sb 2.42, 4 Te 2.50
2 Ni 0.5000 0.5000 0.5000 (multiplicity 1)  8 Te 3.48, 4 Sb 3.53
3 Sb 0.0000 0.0000 0.5000 (multiplicity 1)  2 Mn 2.42
4 Te 0.0000 0.5000 0.0000 (multiplicity 2)  2 Mn 2.50

Distance to the lowest polymorph of the same formula in meV per atom: 262
E_form (uncorrected) in eV per formula unit: 4.2
Density of states at the Fermi level in states/eV per cell: 5.27


Entry 6:
Computed, not measured: crystalline P2IrAu at its relaxed geometry at the PBEsol level of DFT.

abc: 3.7242 3.7242 8.4415
angles: 90.00 90.00 90.00
With the nearest neighbours (Å) after each atom.
Space group I-4m2 (No. 119)
One atom of each set of equivalent atoms:
1 P 0.0000 0.0000 0.0000 (multiplicity 2)  4 Au 2.63, 4 P 2.81, 4 Ir 2.81
2 P 0.0000 0.5000 0.2500 (multiplicity 2)  4 Ir 2.63, 4 P 2.81, 4 Au 2.81
3 Ir 0.0000 0.5000 0.7500 (multiplicity 2)  8 P 2.63-2.81, 4 Au 2.81
4 Au 0.0000 0.0000 0.5000 (multiplicity 2)  8 P 2.63-2.81, 4 Ir 2.81

Energy of formation in eV per atom: 0.448
Distance to the lowest polymorph of the same formula in meV per atom: 417
Density of states at the Fermi level in states/eV per cell: 5.81


Entry 7:
Computed, not measured: crystalline CoHg2Pb at its relaxed geometry at the PBEsol level of DFT.

abc: 5.5584 8.6865 3.4037
angles: 90.00 90.00 90.00
With the nearest neighbours (Å) after each atom.
Space group Cmmm (No. 65)
One atom of each set of equivalent atoms:
1 Co 0.0000 0.0000 0.0000 (multiplicity 2)  2 Pb 2.78, 8 Hg 3.09
2 Hg 0.2500 0.2500 0.5000 (multiplicity 4)  2 Hg 2.78, 4 Pb 3.09, 4 Co 3.09
3 Pb 0.0000 0.5000 0.0000 (multiplicity 2)  2 Co 2.78, 8 Hg 3.09

Energy of formation in eV per atom: 0.500
Density of states at the Fermi level in states/eV per cell: 7.10


Entry 8:
Computed, not measured: crystalline Nb3FeS at its relaxed geometry at the PBEsol level of DFT.

abc: 4.5467 4.5467 4.5467
angles: 90.00 90.00 90.00
With the nearest neighbours (Å) after each atom.
Space group Pm-3m (No. 221)
One atom of each set of equivalent atoms:
1 Nb 0.0000 0.0000 0.5000 (multiplicity 3)  2 Fe 2.27
2 Fe 0.0000 0.0000 0.0000 (multiplicity 1)  6 Nb 2.27
3 S 0.5000 0.5000 0.5000 (multiplicity 1)  12 Nb 3.22

E_form (uncorrected) in eV per formula unit: 4.0
Density of states at the Fermi level in states/eV per cell: 6.97